# MnBeAs2Os | the Alexandria database | PBE | optimized geometry
# ΔE_f: 0.757 eV/atom
# M_tot: 4.09 μB/f.u.
# E: -29.6 eV for the cell shown
# DOS(E_F): 5.154 states/eV/f.u.
data_MnBeAs2Os
_chemical_formula_sum 'Mn1 Be1 As2 Os1'
_cell_length_a 4.800
_cell_length_b 4.247
_cell_length_c 4.800
_cell_angle_alpha 90.00
_cell_angle_beta 90.00
_cell_angle_gamma 90.00
_symmetry_space_group_name_H-M 'P 1'
_symmetry_Int_Tables_number 1
loop_
_symmetry_equiv_pos_as_xyz
'x,y,z'
loop_
_atom_site_label
_atom_site_fract_x
_atom_site_fract_y
_atom_site_fract_z
As1 0.500 0.000 0.000
As2 0.000 0.000 0.500
Be1 0.000 0.500 0.000
Mn1 0.500 0.500 0.500
Os1 0.000 0.000 0.000